Density functional theory data (PBE) for a relaxed FeTe2SeN crystal.

```
5
Lattice="-2.848 4.783 -1.063 -4.893 -2.708 0.923 0.173 0.882 3.507" Properties=species:S:1:pos:R:3 pbc="T T T"
Te -2.446 -1.354 0.461
Te -1.424 2.392 -0.531
Fe -3.784 1.479 1.683
Se 0.000 0.000 0.000
N 0.087 0.441 1.754
```

The calculation puts the uncorrected formation energy at 119.1 kJ/mol of atoms. The calculation puts the energy above the most stable polymorph in this dataset at 0.9308 eV per atom. As for the density of states at the Fermi level: 6.885 states/eV per cell. As for the space group: P4/mmm (123).

---

Density functional theory data (PBE) for a relaxed Cr2InSb crystal.

```
4
Lattice="5.444 0.018 0.019 4.267 3.380 0.019 1.108 0.388 4.251" Properties=species:S:1:pos:R:3 pbc="T T T"
Cr 9.676 3.385 0.321
Cr 8.102 2.835 2.959
In 5.478 1.917 2.410
Sb 2.684 0.939 0.779
```

The calculation puts the uncorrected formation energy at 39.3 kJ/mol of atoms. The calculation puts the energy above the most stable polymorph in this dataset at 0.1801 eV per atom. As for the density of states at the Fermi level: 2.260 states/eV per cell. As for the space group: Cm (8).